Entry a
# GGA-PBE TaCdCoSn, optimized geometry
# ρ = 11.1 g/cm3
# SG = F-43m (216)
data_TaCdCoSn
_symmetry_space_group_name_H-M 'P 1'
_symmetry_Int_Tables_number 1
_cell_length_a 4.633
_cell_length_b 4.633
_cell_length_c 4.633
_cell_angle_alpha 60.00
_cell_angle_beta 60.00
_cell_angle_gamma 60.00
loop_
_symmetry_equiv_pos_as_xyz
'x,y,z'
loop_
_atom_site_label
_atom_site_type_symbol
_atom_site_fract_x
_atom_site_fract_y
_atom_site_fract_z
Ta1 Ta 0.000 0.000 0.000
Cd1 Cd 0.750 0.750 0.750
Co1 Co 0.500 0.500 0.500
Sn1 Sn 0.250 0.250 0.250

Entry b
# GGA-PBE TaCdCoSn, optimized geometry
# ρ = 11.1 g/cm3
# SG = F-43m (216)
data_TaCdCoSn
_symmetry_space_group_name_H-M 'P 1'
_symmetry_Int_Tables_number 1
_cell_length_a 4.639
_cell_length_b 4.639
_cell_length_c 4.639
_cell_angle_alpha 60.00
_cell_angle_beta 60.00
_cell_angle_gamma 60.00
loop_
_symmetry_equiv_pos_as_xyz
'x,y,z'
loop_
_atom_site_label
_atom_site_type_symbol
_atom_site_fract_x
_atom_site_fract_y
_atom_site_fract_z
Ta1 Ta 0.000 0.000 0.000
Cd1 Cd 0.250 0.250 0.250
Co1 Co 0.750 0.750 0.750
Sn1 Sn 0.500 0.500 0.500

It comes down to entry a, which is 0.7 kJ/mol of atoms more stable than the next structure.